Here is a relaxed DyLu2Fe3Co6 crystal from the Open Quantum Materials Database. Energies are from PBE.

The formation energy comes out at -0.2290 eV per atom. The total magnetization is 13.6 μB/f.u. As for the total energy: -6.997 eV per atom.

It has space group R-3m (No. 166, hexagonal axes), with a = 5.0379 Å, b = 5.0379 Å, c = 23.5439 Å, α = 90.00°, β = 90.00° and γ = 120.00°. Symmetry generates all atoms from Dy at (0.0000, 0.0000, 0.0000), Lu at (0.0000, 0.0000, 0.1411), Fe at (0.0000, 0.0000, 0.3339), Fe at (0.0000, 0.0000, 0.5000) and Co at (0.0032, 0.5016, 0.9170).

=====

Here is a relaxed DyLu2Fe7Co2 crystal from the Open Quantum Materials Database. Energies are from PBE.

The formation energy comes out at -0.1454 eV per atom. The total magnetization is 16.0 μB/f.u. As for the total energy: -7.314 eV per atom.

It has space group R-3m (No. 166, hexagonal axes), with a = 5.0013 Å, b = 5.0013 Å, c = 24.2248 Å, α = 90.00°, β = 90.00° and γ = 120.00°. Symmetry generates all atoms from Dy at (0.0000, 0.0000, 0.0000), Lu at (0.0000, 0.0000, 0.1424), Fe at (0.0000, 0.0000, 0.5000), Fe at (0.9995, 0.4998, 0.0828) and Co at (0.0000, 0.0000, 0.3326).

=====

Here is a relaxed Dy2LuFe3Co6 crystal from the Open Quantum Materials Database. Energies are from PBE.

The formation energy comes out at -0.1892 eV per atom. The total magnetization is 13.4 μB/f.u. As for the total energy: -6.963 eV per atom.

It has space group R-3m (No. 166, hexagonal axes), with a = 5.0457 Å, b = 5.0457 Å, c = 23.6003 Å, α = 90.00°, β = 90.00° and γ = 120.00°. Symmetry generates all atoms from Dy at (0.0000, 0.0000, 0.1405), Lu at (0.0000, 0.0000, 0.0000), Fe at (0.0000, 0.0000, 0.3331), Fe at (0.0000, 0.0000, 0.5000) and Co at (0.0005, 0.5003, 0.9186).